# Dy4TlZn GGA-PBE relaxed
data_Dy4TlZn
_chemical_formula_sum 'Dy4 Tl1 Zn1'
_symmetry_space_group_name_H-M 'P 4/m m m'
_symmetry_Int_Tables_number 123
_symmetry_space_group_name_Hall '-P 4 2'
_cell_length_a 3.590
_cell_length_b 3.590
_cell_length_c 12.798
_cell_angle_alpha 90.00
_cell_angle_beta 90.00
_cell_angle_gamma 90.00
loop_
_atom_site_label
_atom_site_type_symbol
_atom_site_fract_x
_atom_site_fract_y
_atom_site_fract_z
Dy1 Dy 0.000 0.000 0.138
Dy2 Dy 0.500 0.500 0.333
Tl1 Tl 0.000 0.000 0.500
Zn1 Zn 0.500 0.500 0.000
# Final energy   -0.28620 Ry/atom
# Volume   27.49 A^3/atom
# Formation enthalpy at 0 K   -0.22 eV per atom

=====

# Y2GaHPd6 GGA-PBE relaxed
data_Y2GaHPd6
_chemical_formula_sum 'Y4 Ga2 H2 Pd12'
_symmetry_space_group_name_H-M 'C 1 2/m 1'
_symmetry_Int_Tables_number 12
_cell_length_a 9.869
_cell_length_b 5.703
_cell_length_c 6.808
_cell_angle_alpha 90.00
_cell_angle_beta 118.40
_cell_angle_gamma 90.00
loop_
_symmetry_equiv_pos_as_xyz
'x,y,z'
'-x,-y,-z'
'-x,y,-z'
'x,-y,z'
'x+1/2,y+1/2,z'
'-x+1/2,-y+1/2,-z'
'-x+1/2,y+1/2,-z'
'x+1/2,-y+1/2,z'
loop_
_atom_site_label
_atom_site_type_symbol
_atom_site_fract_x
_atom_site_fract_y
_atom_site_fract_z
Y1 Y 0.224 0.000 0.172
Ga1 Ga 0.000 0.500 0.000
H1 H 0.000 0.000 0.500
Pd1 Pd 0.019 0.248 0.308
Pd2 Pd 0.230 0.000 0.690
# Final energy   -0.42410 Ry/atom
# Volume   16.85 A^3/atom

=====

# CsBaHf3 GGA-PBE relaxed
data_CsBaHf3
_chemical_formula_sum 'Cs1 Ba1 Hf3'
_symmetry_space_group_name_H-M 'P m -3 m'
_symmetry_Int_Tables_number 221
_symmetry_space_group_name_Hall '-P 4 2 3'
_cell_length_a 5.618
_cell_length_b 5.618
_cell_length_c 5.618
_cell_angle_alpha 90.00
_cell_angle_beta 90.00
_cell_angle_gamma 90.00
loop_
_atom_site_label
_atom_site_type_symbol
_atom_site_fract_x
_atom_site_fract_y
_atom_site_fract_z
Cs1 Cs 0.000 0.000 0.000
Ba1 Ba 0.500 0.500 0.500
Hf1 Hf 0.000 0.500 0.500
# Final energy   -0.32971 Ry/atom
# Volume   35.46 A^3/atom
# Formation enthalpy at 0 K   2.04 eV per atom

=====

# K3SbS4 GGA-PBE relaxed
data_K3SbS4
_chemical_formula_sum 'K12 Sb4 S16'
_symmetry_space_group_name_H-M 'P n m a'
_symmetry_Int_Tables_number 62
_cell_length_a 9.352
_cell_length_b 10.934
_cell_length_c 9.956
_cell_angle_alpha 90.00
_cell_angle_beta 90.00
_cell_angle_gamma 90.00
loop_
_symmetry_equiv_pos_as_xyz
'x,y,z'
'-x,-y,-z'
'-x+1/2,-y,z+1/2'
'x+1/2,y,-z+1/2'
'x+1/2,-y+1/2,-z+1/2'
'-x+1/2,y+1/2,z+1/2'
'-x,y+1/2,-z'
'x,-y+1/2,z'
loop_
_atom_site_label
_atom_site_type_symbol
_atom_site_fract_x
_atom_site_fract_y
_atom_site_fract_z
K1 K 0.078 0.043 0.210
K2 K 0.131 0.750 0.434
Sb1 Sb 0.213 0.750 0.986
S1 S 0.002 0.250 0.887
S2 S 0.155 0.071 0.534
S3 S 0.163 0.750 0.753
# Final energy   -0.28522 Ry/atom
# Volume   31.82 A^3/atom
# E_form (uncorrected)   -86 kJ/mol of atoms

=====

# TiIn3Pt GGA-PBE relaxed
data_TiIn3Pt
_chemical_formula_sum 'Ti1 In3 Pt1'
_symmetry_space_group_name_H-M 'P m -3 m'
_symmetry_Int_Tables_number 221
_symmetry_space_group_name_Hall '-P 4 2 3'
_cell_length_a 5.218
_cell_length_b 5.218
_cell_length_c 5.218
_cell_angle_alpha 90.00
_cell_angle_beta 90.00
_cell_angle_gamma 90.00
loop_
_atom_site_label
_atom_site_type_symbol
_atom_site_fract_x
_atom_site_fract_y
_atom_site_fract_z
Ti1 Ti 0.000 0.000 0.000
In1 In 0.000 0.000 0.500
Pt1 Pt 0.500 0.500 0.500
# Final energy   -0.25846 Ry/atom
# Volume   28.42 A^3/atom
# Formation enthalpy at 0 K   0.91 eV per atom

=====

# Pm3SmDy2Tm6 GGA-PBE relaxed
data_Pm3SmDy2Tm6
_chemical_formula_sum 'Pm6 Sm2 Dy4 Tm12'
_symmetry_space_group_name_H-M 'C 1 2/m 1'
_symmetry_Int_Tables_number 12
_cell_length_a 6.158
_cell_length_b 10.661
_cell_length_c 11.677
_cell_angle_alpha 90.00
_cell_angle_beta 100.09
_cell_angle_gamma 90.00
loop_
_symmetry_equiv_pos_as_xyz
'x,y,z'
'-x,-y,-z'
'-x,y,-z'
'x,-y,z'
'x+1/2,y+1/2,z'
'-x+1/2,-y+1/2,-z'
'-x+1/2,y+1/2,-z'
'x+1/2,-y+1/2,z'
loop_
_atom_site_label
_atom_site_type_symbol
_atom_site_fract_x
_atom_site_fract_y
_atom_site_fract_z
Pm1 Pm 0.000 0.000 0.000
Pm2 Pm 0.000 0.333 0.000
Sm1 Sm 0.000 0.500 0.500
Dy1 Dy 0.000 0.167 0.500
Tm1 Tm 0.250 0.000 0.748
Tm2 Tm 0.250 0.167 0.252
# Final energy   -0.33545 Ry/atom
# Volume   31.45 A^3/atom
# Formation enthalpy at 0 K   0.02 eV per atom

=====

# MgBe3Os GGA-PBE relaxed
data_MgBe3Os
_chemical_formula_sum 'Mg1 Be3 Os1'
_symmetry_space_group_name_H-M 'P m -3 m'
_symmetry_Int_Tables_number 221
_symmetry_space_group_name_Hall '-P 4 2 3'
_cell_length_a 4.039
_cell_length_b 4.039
_cell_length_c 4.039
_cell_angle_alpha 90.00
_cell_angle_beta 90.00
_cell_angle_gamma 90.00
loop_
_atom_site_label
_atom_site_type_symbol
_atom_site_fract_x
_atom_site_fract_y
_atom_site_fract_z
Mg1 Mg 0.000 0.000 0.000
Be1 Be 0.000 0.000 0.500
Os1 Os 0.500 0.500 0.500
# Final energy   -0.21848 Ry/atom
# Volume   13.17 A^3/atom
# Formation enthalpy at 0 K   1.83 eV per atom

=====

# Ba5Sr5Tl2 GGA-PBE relaxed
data_Ba5Sr5Tl2
_chemical_formula_sum 'Ba10 Sr10 Tl4'
_symmetry_space_group_name_H-M 'C 1 2/m 1'
_symmetry_Int_Tables_number 12
_cell_length_a 19.222
_cell_length_b 5.792
_cell_length_c 13.337
_cell_angle_alpha 90.00
_cell_angle_beta 122.97
_cell_angle_gamma 90.00
loop_
_symmetry_equiv_pos_as_xyz
'x,y,z'
'-x,-y,-z'
'-x,y,-z'
'x,-y,z'
'x+1/2,y+1/2,z'
'-x+1/2,-y+1/2,-z'
'-x+1/2,y+1/2,-z'
'x+1/2,-y+1/2,z'
loop_
_atom_site_label
_atom_site_type_symbol
_atom_site_fract_x
_atom_site_fract_y
_atom_site_fract_z
Ba1 Ba 0.000 0.000 0.000
Ba2 Ba 0.137 0.000 0.844
Ba3 Ba 0.166 0.000 0.506
Sr1 Sr 0.000 0.500 0.500
Sr2 Sr 0.063 0.500 0.233
Sr3 Sr 0.234 0.000 0.225
Tl1 Tl 0.138 0.500 0.040
# Final energy   -0.14690 Ry/atom
# Volume   51.91 A^3/atom
# Formation enthalpy at 0 K   -0.10 eV per atom

=====

Question: Which formula does entry 5 have?
Answer: TiIn3Pt

=====

Question: What is the final energy in the third record?
Answer: -0.32971 Ry/atom

=====

Question: What is the formula in the third record?
Answer: CsBaHf3